The following is a DFT calculation (PBE) of a relaxed ErThCo2 crystal.

Summary:
energy of formation from the pure elements: -0.7 eV per formula unit
space-group type: P4/mmm (123)
total energy: -26.89 eV per formula unit
ΔE to the lowest computed polymorph: 107.8 meV/atom

Lattice parameters (Å, degrees): 3.3949 4.7742 4.7742 90.00 90.00 90.00
With the nearest neighbours (Å) after each atom.
Positions (direct):
1 Co 0.0000 0.0000 0.5000  4 Th 2.93, 4 Er 2.93
2 Co 0.0000 0.5000 0.0000  4 Th 2.93, 4 Er 2.93
3 Th 0.5000 0.5000 0.5000  8 Co 2.93
4 Er 0.5000 0.0000 0.0000  8 Co 2.93